# MnBiO3 (meta-GGA SCAN, single point on PBEsol structure)
# formation energy (no corrections)	-1.565	eV per atom
# calculated density	8.36	g/cm3
# density of states at the Fermi level	2.49	states/eV/cell
# energy	-24.67	eV per atom
data_MnBiO3
_space_group_name_H-M_alt 'P 1'
_space_group_IT_number 1
_cell_length_a 5.3209
_cell_length_b 10.0491
_cell_length_c 10.5651
_cell_angle_alpha 118.66
_cell_angle_beta 90.00
_cell_angle_gamma 90.00
loop_
_space_group_symop_operation_xyz
'x,y,z'
loop_
_atom_site_label
_atom_site_type_symbol
_atom_site_fract_x
_atom_site_fract_y
_atom_site_fract_z
O1 O 0.1808 0.4458 0.8275
Bi1 Bi 0.9917 0.3430 0.2013
O2 O 0.5680 0.7934 0.4409
O3 O 0.4320 0.2066 0.5591
O4 O 0.9320 0.2934 0.9409
Bi2 Bi 0.5164 0.2466 0.9326
O5 O 0.7526 0.5252 0.3907
Mn1 Mn 0.5000 0.5000 0.5000
O6 O 0.2298 0.0348 0.8819
O7 O 0.6808 0.0542 0.6725
Mn2 Mn 0.4847 0.4565 0.7421
Mn3 Mn 0.5153 0.5435 0.2579
Mn4 Mn 0.0000 0.5000 0.0000
O8 O 0.2008 0.9850 0.5986
Mn5 Mn 0.9847 0.0435 0.7579
Mn6 Mn 0.5000 0.0000 0.5000
O9 O 0.7702 0.9652 0.1181
Bi3 Bi 0.4836 0.7534 0.0674
O10 O 0.7992 0.0150 0.4014
Mn7 Mn 0.0000 0.0000 0.0000
O11 O 0.7298 0.4652 0.6181
O12 O 0.0639 0.2153 0.3455
O13 O 0.9361 0.7847 0.6545
O14 O 0.7474 0.0252 0.8907
O15 O 0.3192 0.9458 0.3275
Bi4 Bi 0.9836 0.7466 0.4326
O16 O 0.2992 0.4850 0.0986
Bi5 Bi 0.0164 0.2534 0.5674
O17 O 0.2702 0.5348 0.3819
O18 O 0.5639 0.2847 0.1545
O19 O 0.8192 0.5542 0.1725
O20 O 0.4361 0.7153 0.8455
Bi6 Bi 0.0083 0.6570 0.7987
O21 O 0.7008 0.5150 0.9014
O22 O 0.2474 0.4748 0.6093
O23 O 0.2526 0.9748 0.1093
Mn8 Mn 0.0153 0.9565 0.2421
Bi7 Bi 0.5083 0.8430 0.7013
Bi8 Bi 0.4917 0.1570 0.2987
O24 O 0.0680 0.7066 0.0591

---

# Pr2AlZn (meta-GGA SCAN, single point on PBEsol structure)
# calculated density	6.26	g/cm3
# density of states at the Fermi level	3.46	states/eV/cell
# ΔH_f (0 K)	-357	meV per atom
# energy	-27.34	eV per atom
data_Pr2AlZn
_space_group_name_H-M_alt 'P 1'
_space_group_IT_number 1
_cell_length_a 3.6241
_cell_length_b 3.6241
_cell_length_c 7.5549
_cell_angle_alpha 90.00
_cell_angle_beta 90.00
_cell_angle_gamma 90.00
loop_
_space_group_symop_operation_xyz
'x,y,z'
loop_
_atom_site_label
_atom_site_type_symbol
_atom_site_fract_x
_atom_site_fract_y
_atom_site_fract_z
Pr1 Pr 0.5000 0.5000 0.2563
Pr2 Pr 0.5000 0.5000 0.7437
Zn1 Zn 0.0000 0.0000 0.5000
Al1 Al 0.0000 0.0000 0.0000

---

# Ce3Se4 (meta-GGA SCAN, single point on PBEsol structure)
# formation energy (no corrections)	-2.063	eV per atom
# calculated density	7.32	g/cm3
# density of states at the Fermi level	24.48	states/eV/cell
# energy	-32.64	eV per atom
data_Ce3Se4
_space_group_name_H-M_alt 'P 1'
_space_group_IT_number 1
_cell_length_a 7.5693
_cell_length_b 7.5693
_cell_length_c 7.5693
_cell_angle_alpha 109.47
_cell_angle_beta 109.47
_cell_angle_gamma 109.47
loop_
_space_group_symop_operation_xyz
'x,y,z'
loop_
_atom_site_label
_atom_site_type_symbol
_atom_site_fract_x
_atom_site_fract_y
_atom_site_fract_z
Ce1 Ce 0.8750 0.1250 0.7500
Se1 Se 0.1542 0.0000 0.0000
Ce2 Ce 0.3750 0.7500 0.1250
Se2 Se 0.3458 0.3458 0.8458
Ce3 Ce 0.7500 0.6250 0.8750
Se3 Se 0.5000 0.6542 0.5000
Ce4 Ce 0.1250 0.2500 0.3750
Se4 Se 0.6542 0.0000 0.0000
Se5 Se 0.0000 0.5000 0.1542
Ce5 Ce 0.6250 0.3750 0.2500
Se6 Se 0.8458 0.8458 0.3458
Se7 Se 0.0000 0.5000 0.6542
Se8 Se 0.5000 0.1542 0.5000
Ce6 Ce 0.2500 0.8750 0.6250

---

# MnInO3 (meta-GGA SCAN, single point on PBEsol structure)
# formation energy (no corrections)	-1.979	eV per atom
# calculated density	6.28	g/cm3
# density of states at the Fermi level	0.83	states/eV/cell
# energy	-16.05	eV per atom
data_MnInO3
_space_group_name_H-M_alt 'P 1'
_space_group_IT_number 1
_cell_length_a 3.3676
_cell_length_b 3.3676
_cell_length_c 11.7255
_cell_angle_alpha 90.00
_cell_angle_beta 90.00
_cell_angle_gamma 120.00
loop_
_space_group_symop_operation_xyz
'x,y,z'
loop_
_atom_site_label
_atom_site_type_symbol
_atom_site_fract_x
_atom_site_fract_y
_atom_site_fract_z
Mn1 Mn 0.6667 0.3333 0.7500
In1 In 0.0000 0.0000 0.5000
Mn2 Mn 0.3333 0.6667 0.2500
O1 O 0.6667 0.3333 0.9131
O2 O 0.0000 0.0000 0.2500
O3 O 0.6667 0.3333 0.5869
In2 In 0.0000 0.0000 0.0000
O4 O 0.0000 0.0000 0.7500
O5 O 0.3333 0.6667 0.0869
O6 O 0.3333 0.6667 0.4131

---

# AlNiN2 (meta-GGA SCAN, single point on PBEsol structure)
# formation energy (no corrections)	-0.432	eV per atom
# calculated density	4.64	g/cm3
# density of states at the Fermi level	3.46	states/eV/cell
# energy	-11.06	eV per atom
data_AlNiN2
_space_group_name_H-M_alt 'P 1'
_space_group_IT_number 1
_cell_length_a 4.2679
_cell_length_b 4.2679
_cell_length_c 5.3931
_cell_angle_alpha 113.31
_cell_angle_beta 113.31
_cell_angle_gamma 90.00
loop_
_space_group_symop_operation_xyz
'x,y,z'
loop_
_atom_site_label
_atom_site_type_symbol
_atom_site_fract_x
_atom_site_fract_y
_atom_site_fract_z
Ni1 Ni 0.2500 0.7500 0.5000
Ni2 Ni 0.0000 0.0000 0.0000
N1 N 0.3728 0.8750 0.2500
N2 N 0.6250 0.6272 0.7500
N3 N 0.8772 0.3750 0.2500
N4 N 0.1250 0.1228 0.7500
Al1 Al 0.5000 0.5000 0.0000
Al2 Al 0.7500 0.2500 0.5000

---

# MgTa2W (meta-GGA SCAN, single point on PBEsol structure)
# calculated density	13.57	g/cm3
# density of states at the Fermi level	3.60	states/eV/cell
# ΔH_f (0 K)	306	meV per atom
# energy	-51.65	eV per atom
data_MgTa2W
_space_group_name_H-M_alt 'P 1'
_space_group_IT_number 1
_cell_length_a 3.4636
_cell_length_b 4.6284
_cell_length_c 5.2240
_cell_angle_alpha 116.30
_cell_angle_beta 109.36
_cell_angle_gamma 90.00
loop_
_space_group_symop_operation_xyz
'x,y,z'
loop_
_atom_site_label
_atom_site_type_symbol
_atom_site_fract_x
_atom_site_fract_y
_atom_site_fract_z
Ta1 Ta 0.7670 0.7670 0.5340
Ta2 Ta 0.2330 0.2330 0.4660
Mg1 Mg 0.0000 0.5000 0.0000
W1 W 0.5000 0.0000 0.0000

---

# MnGaBr3 (meta-GGA SCAN, single point on PBEsol structure)
# formation energy (no corrections)	-0.801	eV per atom
# calculated density	4.37	g/cm3
# density of states at the Fermi level	0.00	states/eV/cell
# energy	-19.40	eV per atom
data_MnGaBr3
_space_group_name_H-M_alt 'P 1'
_space_group_IT_number 1
_cell_length_a 5.1729
_cell_length_b 5.1729
_cell_length_c 5.1729
_cell_angle_alpha 90.00
_cell_angle_beta 90.00
_cell_angle_gamma 90.00
loop_
_space_group_symop_operation_xyz
'x,y,z'
loop_
_atom_site_label
_atom_site_type_symbol
_atom_site_fract_x
_atom_site_fract_y
_atom_site_fract_z
Mn1 Mn 0.0000 0.0000 0.0000
Br1 Br 0.5000 0.0000 0.0000
Br2 Br 0.0000 0.5000 0.0000
Br3 Br 0.0000 0.0000 0.5000
Ga1 Ga 0.5000 0.5000 0.5000

---

# AlCrCdAg2 (meta-GGA SCAN, single point on PBEsol structure)
# calculated density	5.41	g/cm3
# density of states at the Fermi level	2.36	states/eV/cell
# ΔH_f (0 K)	1000	meV per atom
# energy	-22.86	eV per atom
data_AlCrCdAg2
_space_group_name_H-M_alt 'P 1'
_space_group_IT_number 1
_cell_length_a 4.9996
_cell_length_b 4.9996
_cell_length_c 5.0025
_cell_angle_alpha 90.00
_cell_angle_beta 90.00
_cell_angle_gamma 90.00
loop_
_space_group_symop_operation_xyz
'x,y,z'
loop_
_atom_site_label
_atom_site_type_symbol
_atom_site_fract_x
_atom_site_fract_y
_atom_site_fract_z
Ag1 Ag 0.0000 0.5000 0.0000
Ag2 Ag 0.5000 0.0000 0.0000
Cr1 Cr 0.0000 0.0000 0.5000
Cd1 Cd 0.0000 0.0000 0.0000
Al1 Al 0.5000 0.5000 0.5000